Entry 1:
First-principles (PBE) data for a relaxed structure of Cs2CeY2S6, as listed in Alexandria via LeMat-Bulk. Values from VASP.

Computed properties:
total DFT energy (no corrections): -5.98 eV per atom
symmetry: C2/m
total moment: 0.0 Bohr magnetons per cell
energy relative to the elements, uncorrected: -1.8566 eV/atom

```
&SYSTEM
  ibrav = 0, nat = 11, ntyp = 4
/
ATOMIC_SPECIES
S 32.06 S.upf
Y 88.91 Y.upf
Cs 132.91 Cs.upf
Ce 140.12 Ce.upf
CELL_PARAMETERS angstrom
-6.741 1.235 -1.622
2.022 -6.450 1.978
0.060 3.693 7.739
ATOMIC_POSITIONS crystal
S 0.942 0.609 0.323
S 0.391 0.058 0.677
S 0.609 0.942 0.323
S 0.270 0.270 0.323
Y 0.334 0.666 0.500
Cs 0.168 0.832 0.000
Ce 0.000 0.000 0.500
S 0.730 0.730 0.677
Y 0.666 0.334 0.500
S 0.058 0.391 0.677
Cs 0.832 0.168 0.000
```

Entry 2:
First-principles (PBE) data for a relaxed structure of BaCu2H7, as listed in Alexandria via LeMat-Bulk. Values from VASP.

Computed properties:
total DFT energy (no corrections): -3.30 eV per atom
symmetry: Cmmm
total moment: 0.0 Bohr magnetons per cell

```
&SYSTEM
  ibrav = 0, nat = 10, ntyp = 3
/
ATOMIC_SPECIES
H 1.01 H.upf
Cu 63.55 Cu.upf
Ba 137.33 Ba.upf
CELL_PARAMETERS angstrom
-2.275 -2.149 2.340
-3.302 -1.058 -4.183
4.333 -2.875 1.573
ATOMIC_POSITIONS crystal
H 0.500 0.998 0.684
Cu 0.500 0.684 0.316
H 0.500 0.002 0.316
H 0.000 0.672 0.328
H 0.500 0.316 0.002
H 0.500 0.684 0.998
H 0.500 0.500 0.500
Cu 0.500 0.316 0.684
Ba 0.000 0.000 0.000
H 0.000 0.328 0.672
```

Entry 3:
First-principles (PBE) data for a relaxed structure of KFe2NiBr8, as listed in Alexandria via LeMat-Bulk. Values from VASP.

Computed properties:
total DFT energy (no corrections): -3.72 eV per atom
symmetry: C2/m
total moment: 11.0 Bohr magnetons per cell
energy relative to the elements, uncorrected: -0.6201 eV/atom

```
&SYSTEM
  ibrav = 0, nat = 12, ntyp = 4
/
ATOMIC_SPECIES
Br 79.90 Br.upf
Fe 55.84 Fe.upf
Ni 58.69 Ni.upf
K 39.10 K.upf
CELL_PARAMETERS angstrom
-0.864 1.080 -6.469
3.145 -4.572 -3.601
-7.606 -5.790 -0.778
ATOMIC_POSITIONS crystal
Br 0.696 0.696 0.431
Br 0.234 0.234 0.993
Br 0.255 0.769 0.802
Br 0.231 0.745 0.198
Fe 0.621 0.621 0.210
Br 0.304 0.304 0.569
Fe 0.379 0.379 0.790
Br 0.769 0.255 0.802
Ni 0.000 0.000 0.000
Br 0.745 0.231 0.198
K 0.000 0.000 0.500
Br 0.766 0.766 0.007
```

Entry 4:
First-principles (PBE) data for a relaxed structure of La5Sc, as listed in Alexandria via LeMat-Bulk. Values from VASP.

Computed properties:
energy of formation: 0.403 eV per atom
energy relative to the lowest polymorph listed for this composition: 366 meV/atom
total DFT energy (no corrections): -4.76 eV per atom
symmetry: P6/mmm
total moment: 0.0 Bohr magnetons per cell

```
&SYSTEM
  ibrav = 0, nat = 6, ntyp = 2
/
ATOMIC_SPECIES
La 138.91 La.upf
Sc 44.96 Sc.upf
CELL_PARAMETERS angstrom
-5.980 -1.458 -2.143
3.832 -4.690 2.408
-2.204 1.005 5.464
ATOMIC_POSITIONS crystal
La 0.500 0.000 0.500
La 0.333 0.667 0.000
La 0.500 0.500 0.500
La 0.667 0.333 0.000
La 0.000 0.500 0.500
Sc 0.000 0.000 0.000
```

Entry 5:
First-principles (PBE) data for a relaxed structure of NdUAg2S6, as listed in Alexandria via LeMat-Bulk. Values from VASP.

Computed properties:
total DFT energy (no corrections): -5.52 eV per atom
symmetry: P1
total moment: 0.0 Bohr magnetons per cell
energy relative to the elements, uncorrected: -0.8711 eV/atom

```
&SYSTEM
  ibrav = 0, nat = 10, ntyp = 4
/
ATOMIC_SPECIES
S 32.06 S.upf
Nd 144.24 Nd.upf
U 238.03 U.upf
Ag 107.87 Ag.upf
CELL_PARAMETERS angstrom
-4.922 -4.373 -0.206
-0.773 -3.843 -5.287
1.883 -7.128 0.798
ATOMIC_POSITIONS crystal
S 0.393 0.730 0.761
Nd 0.824 0.824 0.528
S 0.730 0.116 0.760
U 0.330 0.330 0.010
S 0.934 0.573 0.246
Ag 0.512 0.512 0.464
S 0.573 0.247 0.245
Ag 0.002 0.002 0.994
S 0.116 0.393 0.761
S 0.247 0.934 0.246
```

Entry 6:
First-principles (PBE) data for a relaxed structure of AlTe2Se, as listed in Alexandria via LeMat-Bulk. Values from VASP.

Computed properties:
total DFT energy (no corrections): -3.28 eV per atom
symmetry: I-4m2
total moment: 0.0 Bohr magnetons per cell
energy relative to the elements, uncorrected: 0.0941 eV/atom

```
&SYSTEM
  ibrav = 0, nat = 4, ntyp = 3
/
ATOMIC_SPECIES
Te 127.60 Te.upf
Al 26.98 Al.upf
Se 78.96 Se.upf
CELL_PARAMETERS angstrom
8.486 0.037 0.000
6.592 5.345 0.000
-7.539 -2.691 2.818
ATOMIC_POSITIONS crystal
Te 0.250 0.750 0.500
Al 0.500 0.500 0.000
Te 0.000 0.000 0.000
Se 0.750 0.250 0.500
```

Entry 7:
First-principles (PBE) data for a relaxed structure of FeCoIr2, as listed in Alexandria via LeMat-Bulk. Values from VASP.

Computed properties:
energy of formation: -0.001 eV per atom
total DFT energy (no corrections): -8.32 eV per atom
symmetry: Cm
total moment: 3.6 Bohr magnetons per cell

```
&SYSTEM
  ibrav = 0, nat = 4, ntyp = 3
/
ATOMIC_SPECIES
Co 58.93 Co.upf
Ir 192.22 Ir.upf
Fe 55.84 Fe.upf
CELL_PARAMETERS angstrom
4.584 0.001 0.018
3.794 2.572 0.018
0.818 0.251 4.407
ATOMIC_POSITIONS crystal
Co 0.502 0.502 0.493
Ir 0.752 0.752 0.747
Ir 0.999 0.999 0.001
Fe 0.247 0.247 0.259
```

Entry 8:
First-principles (PBE) data for a relaxed structure of LaCd4In, as listed in Alexandria via LeMat-Bulk. Values from VASP.

Computed properties:
energy of formation: -0.265 eV per atom
energy relative to the lowest polymorph listed for this composition: 0 meV/atom
total DFT energy (no corrections): -2.15 eV per atom
symmetry: P-1
total moment: 0.0 Bohr magnetons per cell

```
&SYSTEM
  ibrav = 0, nat = 6, ntyp = 3
/
ATOMIC_SPECIES
Cd 112.41 Cd.upf
In 114.82 In.upf
La 138.91 La.upf
CELL_PARAMETERS angstrom
-2.737 -0.263 4.241
3.209 -3.787 -1.165
5.213 2.655 3.623
ATOMIC_POSITIONS crystal
Cd 0.319 0.137 0.754
Cd 0.357 0.199 0.244
Cd 0.689 0.861 0.242
In 0.004 0.499 0.998
Cd 0.651 0.800 0.753
La 0.004 0.499 0.498
```

Entry 9:
First-principles (PBE) data for a relaxed structure of SrAgN, as listed in Alexandria via LeMat-Bulk. Values from VASP.

Computed properties:
total DFT energy (no corrections): -3.12 eV per atom
symmetry: P6_3/mmc
total moment: 4.0 Bohr magnetons per cell
energy relative to the elements, uncorrected: 1.1694 eV/atom

```
&SYSTEM
  ibrav = 0, nat = 6, ntyp = 3
/
ATOMIC_SPECIES
N 14.01 N.upf
Sr 87.62 Sr.upf
Ag 107.87 Ag.upf
CELL_PARAMETERS angstrom
-1.116 4.511 3.216
-1.713 -5.131 1.636
8.811 -1.359 4.964
ATOMIC_POSITIONS crystal
N 0.000 0.000 0.500
N 0.000 0.000 0.000
Sr 0.000 0.000 0.250
Ag 0.667 0.333 0.750
Sr 0.000 0.000 0.750
Ag 0.333 0.667 0.250
```

Entry 10:
First-principles (PBE) data for a relaxed structure of Sm3DyTl4Te8, as listed in Alexandria via LeMat-Bulk. Values from VASP.

Computed properties:
total DFT energy (no corrections): -4.40 eV per atom
symmetry: R-3m
total moment: 0.0 Bohr magnetons per cell
energy relative to the elements, uncorrected: -1.0655 eV/atom

```
&SYSTEM
  ibrav = 0, nat = 16, ntyp = 4
/
ATOMIC_SPECIES
Sm 150.36 Sm.upf
Tl 204.38 Tl.upf
Dy 162.50 Dy.upf
Te 127.60 Te.upf
CELL_PARAMETERS angstrom
9.014 0.000 0.000
0.000 9.687 0.468
-4.507 -4.503 6.376
ATOMIC_POSITIONS crystal
Sm 0.000 0.500 0.500
Tl 0.000 0.000 0.500
Dy 0.000 0.500 0.000
Te 0.237 0.716 0.473
Te 0.257 0.284 0.020
Te 0.763 0.284 0.020
Tl 0.000 0.000 0.000
Sm 0.500 0.500 0.000
Sm 0.500 0.500 0.500
Te 0.743 0.716 0.980
Te 0.237 0.716 0.980
Te 0.260 0.281 0.521
Te 0.740 0.719 0.479
Tl 0.500 0.000 0.500
Te 0.763 0.284 0.527
Tl 0.500 0.000 0.000
```

Entry 11:
First-principles (PBE) data for a relaxed structure of ZnAsP2, as listed in Alexandria via LeMat-Bulk. Values from VASP.

Computed properties:
energy of formation: 0.539 eV per atom
energy relative to the lowest polymorph listed for this composition: 495 meV/atom
total DFT energy (no corrections): -3.65 eV per atom
symmetry: R-3m
total moment: 0.0 Bohr magnetons per cell

```
&SYSTEM
  ibrav = 0, nat = 4, ntyp = 3
/
ATOMIC_SPECIES
Zn 65.41 Zn.upf
As 74.92 As.upf
P 30.97 P.upf
CELL_PARAMETERS angstrom
9.330 -0.116 -0.068
8.925 2.721 -0.068
8.925 1.273 2.405
ATOMIC_POSITIONS crystal
Zn 0.250 0.250 0.250
As 0.750 0.750 0.750
P 0.506 0.506 0.506
P 0.994 0.994 0.994
```

Entry 12:
First-principles (PBE) data for a relaxed structure of LiTc3W, as listed in Alexandria via LeMat-Bulk. Values from VASP.

Computed properties:
energy of formation: 1.046 eV per atom
energy relative to the lowest polymorph listed for this composition: 0 meV/atom
total DFT energy (no corrections): -8.15 eV per atom
symmetry: Pm-3m
total moment: 0.0 Bohr magnetons per cell

```
&SYSTEM
  ibrav = 0, nat = 5, ntyp = 3
/
ATOMIC_SPECIES
Tc 98.00 Tc.upf
W 183.84 W.upf
Li 6.94 Li.upf
CELL_PARAMETERS angstrom
-3.153 2.530 -0.815
0.450 -0.738 -4.032
-2.619 -3.171 0.288
ATOMIC_POSITIONS crystal
Tc 0.500 0.000 0.000
Tc 0.000 0.500 0.000
W 0.500 0.500 0.500
Tc 0.000 0.000 0.500
Li 0.000 0.000 0.000
```